[1]
Material: Ac2Ga5Cu5
Method: DFT, GGA-PBE
State: relaxed

Structure (POSCAR):
```
Ac2Ga5Cu5
1.0
4.098 0.000 0.000
0.000 5.396 0.000
0.000 0.000 10.140
Ac Ga Cu
2 5 5
Direct
0.000 0.000 0.000 Ac
0.000 0.500 0.500 Ac
0.000 0.000 0.313 Ga
0.000 0.000 0.687 Ga
0.000 0.500 0.173 Ga
0.000 0.500 0.827 Ga
0.500 0.000 0.500 Ga
0.500 0.251 0.241 Cu
0.500 0.251 0.759 Cu
0.500 0.500 0.000 Cu
0.500 0.749 0.241 Cu
0.500 0.749 0.759 Cu
```

Summary:
- SG = Pmmm, No. 47
- raw total energy (eV/cell) = -47.091

[2]
Material: Ac2GaCu
Method: DFT, GGA-PBE
State: relaxed

Structure (POSCAR):
```
Ac2GaCu
1.0
1.953 1.128 10.559
-1.953 1.128 10.559
0.000 -2.255 10.559
Ac Ga Cu
2 1 1
Direct
0.093 0.093 0.093 Ac
0.907 0.907 0.907 Ac
0.500 0.500 0.500 Ga
0.000 0.000 0.000 Cu
```

Summary:
- SG = R-3m, No. 166
- energy above the most stable polymorph in this dataset (kJ per mole of atoms) = 55.9

[3]
Material: AcGa2Cu5
Method: DFT, GGA-PBE
State: relaxed

Structure (POSCAR):
```
AcGa2Cu5
1.0
-2.029 3.419 4.958
2.029 -3.419 4.958
2.029 3.419 -4.958
Ac Ga Cu
1 2 5
Direct
0.000 0.000 0.000 Ac
0.256 0.756 0.500 Ga
0.744 0.244 0.500 Ga
0.189 0.367 0.822 Cu
0.454 0.633 0.822 Cu
0.500 0.000 0.500 Cu
0.546 0.367 0.178 Cu
0.811 0.633 0.178 Cu
```

Summary:
- SG = Immm, No. 71
- raw total energy (eV/cell) = -32.045

[4]
Material: AcGa4Cu6
Method: DFT, GGA-PBE
State: relaxed

Structure (POSCAR):
```
AcGa4Cu6
1.0
7.024 0.000 0.000
-3.512 6.083 0.000
0.000 0.000 4.178
Ac Ga Cu
1 4 6
Direct
0.000 0.000 0.000 Ac
0.202 0.403 0.500 Ga
0.202 0.798 0.500 Ga
0.597 0.798 0.500 Ga
0.667 0.333 0.000 Ga
0.082 0.541 0.000 Cu
0.424 0.212 0.500 Cu
0.459 0.541 0.000 Cu
0.459 0.918 0.000 Cu
0.788 0.212 0.500 Cu
0.788 0.576 0.500 Cu
```

Summary:
- SG = P-6m2, No. 187
- raw total energy (eV/cell) = -43.176

[5]
Material: AcGa7Cu5
Method: DFT, GGA-PBE
State: relaxed

Structure (POSCAR):
```
AcGa7Cu5
1.0
-2.609 4.550 4.466
2.609 -4.550 4.466
2.609 4.550 -4.466
Ac Ga Cu
1 7 5
Direct
0.000 0.000 0.000 Ac
0.224 0.508 0.716 Ga
0.341 0.989 0.352 Ga
0.350 0.350 0.000 Ga
0.637 0.989 0.648 Ga
0.644 0.644 0.000 Ga
0.765 0.265 0.500 Ga
0.792 0.508 0.284 Ga
0.002 0.004 0.502 Cu
0.002 0.501 0.999 Cu
0.230 0.730 0.500 Cu
0.502 0.004 0.001 Cu
0.502 0.501 0.498 Cu
```

Summary:
- SG = Imm2, No. 44
- raw total energy (eV/cell) = -48.689

[6]
Material: AcGaCu
Method: DFT, GGA-PBE
State: relaxed

Structure (POSCAR):
```
AcGaCu
1.0
2.671 1.542 3.068
-2.671 1.542 3.068
0.000 -3.084 3.068
Ac Ga Cu
1 1 1
Direct
0.000 0.000 0.000 Ac
0.609 0.609 0.609 Ga
0.346 0.346 0.346 Cu
```

Summary:
- SG = R3m, No. 160
- energy above the most stable polymorph in this dataset (kJ per mole of atoms) = 18.1

[7]
Material: AcGaCu2
Method: DFT, GGA-PBE
State: relaxed

Structure (POSCAR):
```
AcGaCu2
1.0
3.463 0.000 0.000
0.000 3.463 0.000
0.000 0.000 6.862
Ac Ga Cu
1 1 2
Direct
0.000 0.000 0.000 Ac
0.000 0.000 0.500 Ga
0.500 0.500 0.317 Cu
0.500 0.500 0.683 Cu
```

Summary:
- SG = P4/mmm, No. 123
- raw total energy (eV/cell) = -15.234

[8]
Material: Ac2GaCu
Method: DFT, GGA-PBE
State: relaxed

Structure (POSCAR):
```
Ac2GaCu
1.0
3.858 0.000 0.000
0.000 3.858 0.000
0.000 0.000 7.762
Ac Ga Cu
2 1 1
Direct
0.000 0.000 0.246 Ac
0.000 0.000 0.754 Ac
0.500 0.500 0.500 Ga
0.500 0.500 0.000 Cu
```

Summary:
- SG = P4/mmm, No. 123
- energy above the most stable polymorph in this dataset (kJ per mole of atoms) = 2.3

[9]
Material: Ac3Ga4Cu4
Method: DFT, GGA-PBE
State: relaxed

Structure (POSCAR):
```
Ac3Ga4Cu4
1.0
-2.208 2.213 12.720
2.208 -2.213 12.720
2.208 2.213 -12.720
Ac Ga Cu
3 4 4
Direct
0.000 0.000 0.000 Ac
0.347 0.847 0.500 Ac
0.653 0.153 0.500 Ac
0.201 0.701 0.500 Ga
0.448 0.448 0.000 Ga
0.552 0.552 0.000 Ga
0.799 0.299 0.500 Ga
0.100 0.600 0.500 Cu
0.249 0.249 0.000 Cu
0.751 0.751 0.000 Cu
0.900 0.400 0.500 Cu
```

Summary:
- SG = Immm, No. 71
- raw total energy (eV/cell) = -45.166

[10]
Material: AcGa7Cu12
Method: DFT, GGA-PBE
State: relaxed

Structure (POSCAR):
```
AcGa7Cu12
1.0
6.329 3.654 2.201
-6.329 3.654 2.201
0.000 -7.308 2.201
Ac Ga Cu
1 7 12
Direct
0.000 0.000 0.000 Ac
0.202 0.202 0.551 Ga
0.202 0.551 0.202 Ga
0.449 0.798 0.798 Ga
0.500 0.500 0.500 Ga
0.551 0.202 0.202 Ga
0.798 0.449 0.798 Ga
0.798 0.798 0.449 Ga
0.000 0.275 0.725 Cu
0.000 0.725 0.275 Cu
0.047 0.392 0.392 Cu
0.275 0.000 0.725 Cu
0.275 0.725 0.000 Cu
0.392 0.047 0.392 Cu
0.392 0.392 0.047 Cu
0.608 0.608 0.953 Cu
0.608 0.953 0.608 Cu
0.725 0.000 0.275 Cu
0.725 0.275 0.000 Cu
0.953 0.608 0.608 Cu
```

Summary:
- SG = R-3m, No. 166
- raw total energy (eV/cell) = -75.320

[11]
Material: Ac2Ga3Cu2
Method: DFT, GGA-PBE
State: relaxed

Structure (POSCAR):
```
Ac2Ga3Cu2
1.0
2.302 -9.735 0.000
2.302 9.735 0.000
0.000 0.000 7.209
Ac Ga Cu
4 6 4
Direct
0.058 0.942 0.750 Ac
0.166 0.834 0.250 Ac
0.834 0.166 0.750 Ac
0.942 0.058 0.250 Ac
0.222 0.778 0.750 Ga
0.441 0.559 0.576 Ga
0.441 0.559 0.924 Ga
0.559 0.441 0.076 Ga
0.559 0.441 0.424 Ga
0.778 0.222 0.250 Ga
0.321 0.679 0.075 Cu
0.321 0.679 0.425 Cu
0.679 0.321 0.575 Cu
0.679 0.321 0.925 Cu
```

Summary:
- SG = Cmcm, No. 63
- energy above the most stable polymorph in this dataset (kJ per mole of atoms) = 0.0

[12]
Material: Ac5Ga4Cu
Method: DFT, GGA-PBE
State: relaxed

Structure (POSCAR):
```
Ac5Ga4Cu
1.0
3.888 0.000 0.000
0.000 3.888 0.000
0.000 0.000 19.664
Ac Ga Cu
5 4 1
Direct
0.000 0.000 0.000 Ac
0.000 0.000 0.202 Ac
0.000 0.000 0.403 Ac
0.000 0.000 0.597 Ac
0.000 0.000 0.798 Ac
0.500 0.500 0.100 Ga
0.500 0.500 0.304 Ga
0.500 0.500 0.696 Ga
0.500 0.500 0.900 Ga
0.500 0.500 0.500 Cu
```

Summary:
- SG = P4/mmm, No. 123
- raw total energy (eV/cell) = -40.366

[13]
Material: Ac3Ga9Cu2
Method: DFT, GGA-PBE
State: relaxed

Structure (POSCAR):
```
Ac3Ga9Cu2
1.0
-2.253 5.134 6.517
2.253 -5.134 6.517
2.253 5.134 -6.517
Ac Ga Cu
3 9 2
Direct
0.000 0.000 0.000 Ac
0.319 0.319 0.000 Ac
0.681 0.681 0.000 Ac
0.031 0.665 0.366 Ga
0.141 0.868 0.273 Ga
0.299 0.665 0.634 Ga
0.405 0.132 0.273 Ga
0.500 0.000 0.500 Ga
0.595 0.868 0.727 Ga
0.701 0.335 0.366 Ga
0.859 0.132 0.727 Ga
0.969 0.335 0.634 Ga
0.268 0.500 0.768 Cu
0.732 0.500 0.232 Cu
```

Summary:
- SG = Immm, No. 71
- raw total energy (eV/cell) = -53.847

[14]
Material: AcGaCu
Method: DFT, GGA-PBE
State: relaxed

Structure (POSCAR):
```
AcGaCu
1.0
-1.768 1.768 5.600
1.768 -1.768 5.600
1.768 1.768 -5.600
Ac Ga Cu
1 1 1
Direct
0.000 0.000 0.000 Ac
0.294 0.294 0.000 Ga
0.695 0.695 0.000 Cu
```

Summary:
- SG = I4mm, No. 107
- energy above the most stable polymorph in this dataset (kJ per mole of atoms) = 26.4

[15]
Material: AcGa12Cu6
Method: DFT, GGA-PBE
State: relaxed

Structure (POSCAR):
```
AcGa12Cu6
1.0
5.671 3.274 2.949
-5.671 3.274 2.949
0.000 -6.548 2.949
Ac Ga Cu
1 12 6
Direct
0.000 0.000 0.000 Ac
0.113 0.500 0.887 Ga
0.113 0.887 0.500 Ga
0.155 0.410 0.410 Ga
0.410 0.155 0.410 Ga
0.410 0.410 0.155 Ga
0.500 0.113 0.887 Ga
0.500 0.887 0.113 Ga
0.590 0.590 0.845 Ga
0.590 0.845 0.590 Ga
0.845 0.590 0.590 Ga
0.887 0.113 0.500 Ga
0.887 0.500 0.113 Ga
0.279 0.279 0.715 Cu
0.279 0.715 0.279 Cu
0.285 0.721 0.721 Cu
0.715 0.279 0.279 Cu
0.721 0.285 0.721 Cu
0.721 0.721 0.285 Cu
```

Summary:
- SG = R-3m, No. 166
- raw total energy (eV/cell) = -67.319

[16]
Material: Ac2GaCu2
Method: DFT, GGA-PBE
State: relaxed

Structure (POSCAR):
```
Ac2GaCu2
1.0
7.868 0.000 0.000
0.000 7.868 0.000
0.000 0.000 4.150
Ac Ga Cu
4 2 4
Direct
0.186 0.314 0.000 Ac
0.314 0.814 0.000 Ac
0.686 0.186 0.000 Ac
0.814 0.686 0.000 Ac
0.000 0.000 0.500 Ga
0.500 0.500 0.500 Ga
0.113 0.613 0.500 Cu
0.387 0.113 0.500 Cu
0.613 0.887 0.500 Cu
0.887 0.387 0.500 Cu
```

Summary:
- SG = P4/mbm, No. 127
- energy above the most stable polymorph in this dataset (kJ per mole of atoms) = 1.6

[17]
Material: AcGa2Cu
Method: DFT, GGA-PBE
State: relaxed

Structure (POSCAR):
```
AcGa2Cu
1.0
2.087 -5.977 0.000
2.087 5.977 0.000
0.000 0.000 7.025
Ac Ga Cu
2 4 2
Direct
0.057 0.943 0.750 Ac
0.943 0.057 0.250 Ac
0.333 0.667 0.559 Ga
0.333 0.667 0.941 Ga
0.667 0.333 0.059 Ga
0.667 0.333 0.441 Ga
0.219 0.781 0.250 Cu
0.781 0.219 0.750 Cu
```

Summary:
- SG = Cmcm, No. 63
- energy above the most stable polymorph in this dataset (kJ per mole of atoms) = 1.1

[18]
Material: Ac3Ga3Cu2
Method: DFT, GGA-PBE
State: relaxed

Structure (POSCAR):
```
Ac3Ga3Cu2
1.0
2.221 -5.819 0.000
2.221 5.819 0.000
0.000 0.000 16.350
Ac Ga Cu
6 6 4
Direct
0.082 0.918 0.750 Ac
0.358 0.642 0.595 Ac
0.358 0.642 0.905 Ac
0.642 0.358 0.095 Ac
0.642 0.358 0.405 Ac
0.918 0.082 0.250 Ac
0.079 0.921 0.553 Ga
0.079 0.921 0.947 Ga
0.209 0.791 0.250 Ga
0.791 0.209 0.750 Ga
0.921 0.079 0.053 Ga
0.921 0.079 0.447 Ga
0.348 0.652 0.115 Cu
0.348 0.652 0.385 Cu
0.652 0.348 0.615 Cu
0.652 0.348 0.885 Cu
```

Summary:
- SG = Cmcm, No. 63
- raw total energy (eV/cell) = -65.742

[19]
Material: AcGa4Cu4
Method: DFT, GGA-PBE
State: relaxed

Structure (POSCAR):
```
AcGa4Cu4
1.0
6.070 0.000 0.000
0.000 6.070 0.000
0.000 0.000 8.511
Ac Ga Cu
2 8 8
Direct
0.250 0.750 0.250 Ac
0.750 0.250 0.750 Ac
0.017 0.250 0.131 Ga
0.250 0.017 0.631 Ga
0.250 0.483 0.631 Ga
0.483 0.250 0.131 Ga
0.517 0.750 0.869 Ga
0.750 0.517 0.369 Ga
0.750 0.983 0.369 Ga
0.983 0.750 0.869 Ga
0.048 0.250 0.424 Cu
0.250 0.048 0.924 Cu
0.250 0.452 0.924 Cu
0.452 0.250 0.424 Cu
0.548 0.750 0.576 Cu
0.750 0.548 0.076 Cu
0.750 0.952 0.076 Cu
0.952 0.750 0.576 Cu
```

Summary:
- SG = P4_2/nmc, No. 137
- raw total energy (eV/cell) = -70.193

[20]
Material: AcGa5Cu2
Method: DFT, GGA-PBE
State: relaxed

Structure (POSCAR):
```
AcGa5Cu2
1.0
-2.095 3.569 5.007
2.095 -3.569 5.007
2.095 3.569 -5.007
Ac Ga Cu
1 5 2
Direct
0.000 0.000 0.000 Ac
0.162 0.350 0.811 Ga
0.461 0.650 0.811 Ga
0.500 0.000 0.500 Ga
0.539 0.350 0.189 Ga
0.838 0.650 0.189 Ga
0.258 0.758 0.500 Cu
0.742 0.242 0.500 Cu
```

Summary:
- SG = Immm, No. 71
- raw total energy (eV/cell) = -30.142

[21]
Material: Ac7Ga2Cu2
Method: DFT, GGA-PBE
State: relaxed

Structure (POSCAR):
```
Ac7Ga2Cu2
1.0
4.192 -6.048 0.000
4.192 6.048 0.000
0.000 0.000 7.608
Ac Ga Cu
7 2 2
Direct
0.000 0.000 0.000 Ac
0.000 0.500 0.268 Ac
0.000 0.500 0.732 Ac
0.500 0.000 0.268 Ac
0.500 0.000 0.732 Ac
0.500 0.500 0.259 Ac
0.500 0.500 0.741 Ac
0.155 0.155 0.500 Ga
0.845 0.845 0.500 Ga
0.298 0.702 0.000 Cu
0.702 0.298 0.000 Cu
```

Summary:
- SG = Cmmm, No. 65
- raw total energy (eV/cell) = -43.415

no.,M_tot (μB per atom)
1,0.00
2,0.00
3,0.00
4,0.00
5,0.00
6,0.00
7,0.00
8,0.00
9,0.00
10,0.00
11,0.00
12,0.00
13,0.00
14,0.00
15,0.00
16,0.00
17,0.00
18,0.00
19,0.00
20,0.00
21,0.00